<1>
Entry from Alexandria via LeMat-Bulk: GdYTl after structural relaxation (GGA-PBE).

Unit cell a=3.795 b=3.795 c=6.745 alpha=106.34 beta=106.34 gamma=90.00
Each line ends with the local moment (μB).
Positions (direct):
Tl: 0.952 0.952 0.905  0.01
Y: 0.605 0.605 0.210  0.25
Gd: 0.293 0.293 0.586  7.36

<2>
Entry from Alexandria via LeMat-Bulk: GdYTl after structural relaxation (GGA-PBE).

Unit cell a=3.711 b=5.284 c=5.284 alpha=120.00 beta=90.00 gamma=90.00
Each line ends with the local moment (μB).
Positions (direct):
Y: 0.413 0.333 0.667  0.06
Tl: 0.635 0.667 0.333  -0.02
Gd: 0.952 0.000 0.000  7.15

Top of the stability list: <1>, leading by 100 meV per atom.

<1>
Entry from Alexandria via LeMat-Bulk: GdTlZn2 after structural relaxation (GGA-PBE).

Unit cell a=4.191 b=4.602 c=4.602 alpha=90.00 beta=90.00 gamma=90.00
Each line ends with the local moment (μB).
Positions (direct):
Zn: 0.000 0.500 0.000  0.01
Zn: 0.000 0.000 0.500  0.01
Tl: 0.500 0.500 0.500  0.00
Gd: 0.500 0.000 0.000  7.14

<2>
Entry from Alexandria via LeMat-Bulk: GdTlZn2 after structural relaxation (GGA-PBE).

Unit cell a=4.964 b=4.964 c=4.964 alpha=60.00 beta=60.00 gamma=60.00
Each line ends with the local moment (μB).
Positions (direct):
Zn: 0.250 0.250 0.250  -0.02
Zn: 0.750 0.750 0.750  -0.02
Gd: 0.500 0.500 0.500  6.91
Tl: 0.000 0.000 0.000  -0.03

Top of the stability list: <1>, leading by 21 meV per atom.